# MgCd2HgS4 | the Alexandria database | PBE | optimized geometry
# VASP energy, Ha/atom: -0.119
data_MgCd2HgS4
_chemical_formula_sum 'Mg2 Cd4 Hg2 S8'
_cell_length_a 5.879
_cell_length_b 5.879
_cell_length_c 11.778
_cell_angle_alpha 90.00
_cell_angle_beta 90.00
_cell_angle_gamma 90.00
_space_group_name_H-M_alt 'I -4 2 m'
_space_group_IT_number 121
_space_group_name_Hall 'I -4 2'
loop_
_atom_site_label
_atom_site_fract_x
_atom_site_fract_y
_atom_site_fract_z
Mg1 0.000 0.000 0.000
Cd1 0.000 0.500 0.250
Hg1 0.000 0.000 0.500
S1 0.240 0.240 0.123

---

# MgCdHg2S4 | the Alexandria database | PBE | optimized geometry
# VASP energy, Ha/atom: -0.111
data_MgCdHg2S4
_chemical_formula_sum 'Mg2 Cd2 Hg4 S8'
_cell_length_a 5.916
_cell_length_b 5.916
_cell_length_c 11.730
_cell_angle_alpha 90.00
_cell_angle_beta 90.00
_cell_angle_gamma 90.00
_space_group_name_H-M_alt 'I -4 2 m'
_space_group_IT_number 121
_space_group_name_Hall 'I -4 2'
loop_
_atom_site_label
_atom_site_fract_x
_atom_site_fract_y
_atom_site_fract_z
Mg1 0.000 0.000 0.000
Cd1 0.000 0.000 0.500
Hg1 0.000 0.500 0.250
S1 0.243 0.243 0.880

---

# Mg2CdHgS4 | the Alexandria database | PBE | optimized geometry
# VASP energy, Ha/atom: -0.129
data_Mg2CdHgS4
_chemical_formula_sum 'Mg8 Cd4 Hg4 S16'
_cell_length_a 8.263
_cell_length_b 8.263
_cell_length_c 11.570
_cell_angle_alpha 90.00
_cell_angle_beta 90.00
_cell_angle_gamma 90.00
_space_group_name_H-M_alt 'F m m 2'
_space_group_IT_number 42
_space_group_name_Hall 'F 2 -2'
loop_
_atom_site_label
_atom_site_fract_x
_atom_site_fract_y
_atom_site_fract_z
Mg1 0.250 0.250 0.000
Cd1 0.000 0.000 0.250
Hg1 0.000 0.000 0.750
S1 0.000 0.247 0.117
S2 0.248 0.000 0.383

---

# MgCdHg2Sb | the Alexandria database | PBE | optimized geometry
# VASP energy, Ha/atom: -0.056
data_MgCdHg2Sb
_chemical_formula_sum 'Mg2 Cd2 Hg4 Sb2'
_cell_length_a 7.496
_cell_length_b 4.619
_cell_length_c 8.083
_cell_angle_alpha 90.00
_cell_angle_beta 106.54
_cell_angle_gamma 90.00
_space_group_name_H-M_alt 'P 1 21/m 1'
_space_group_IT_number 11
_space_group_name_Hall '-P 2yb'
loop_
_atom_site_label
_atom_site_fract_x
_atom_site_fract_y
_atom_site_fract_z
Mg1 0.168 0.250 0.487
Cd1 0.213 0.250 0.103
Hg1 0.427 0.750 0.596
Hg2 0.469 0.250 0.862
Sb1 0.034 0.750 0.253